Model i:
# BeCuBr2 | the Alexandria database | GGA-PBE | relaxed
# - ρ: 3.41 g/cm3
# - Calculated volume: 226 Å³ per cell
# - Total magnetic moment: 0.0 μB/f.u.
data_BeCuBr2
_cell_length_a 3.293
_cell_length_b 7.870
_cell_length_c 8.740
_cell_angle_alpha 90.00
_cell_angle_beta 90.00
_cell_angle_gamma 90.00
_symmetry_space_group_name_H-M 'C m m 2'
_symmetry_Int_Tables_number 35
loop_
_symmetry_equiv_pos_as_xyz
'x,y,z'
'-x,-y,z'
'-x,y,z'
'x,-y,z'
'x+1/2,y+1/2,z'
'-x+1/2,-y+1/2,z'
'-x+1/2,y+1/2,z'
'x+1/2,-y+1/2,z'
loop_
_atom_site_label
_atom_site_fract_x
_atom_site_fract_y
_atom_site_fract_z
Be1 0.000 0.000 0.000
Cu1 0.000 0.500 0.199
Br1 0.000 0.000 0.397
Br2 0.000 0.500 0.834

---

Model ii:
# BeCuBr2 | the Alexandria database | GGA-PBE | relaxed
# - ρ: 3.51 g/cm3
# - Calculated volume: 220 Å³ per cell
# - Total magnetic moment: 0.0 μB/f.u.
data_BeCuBr2
_cell_length_a 10.426
_cell_length_b 3.429
_cell_length_c 6.238
_cell_angle_alpha 90.00
_cell_angle_beta 99.43
_cell_angle_gamma 90.00
_symmetry_space_group_name_H-M 'C 1 m 1'
_symmetry_Int_Tables_number 8
loop_
_symmetry_equiv_pos_as_xyz
'x,y,z'
'x,-y,z'
'x+1/2,y+1/2,z'
'x+1/2,-y+1/2,z'
loop_
_atom_site_label
_atom_site_fract_x
_atom_site_fract_y
_atom_site_fract_z
Be1 0.000 0.000 0.000
Cu1 0.141 0.500 0.904
Br1 0.012 0.500 0.235
Br2 0.337 0.500 0.750

---

The energy of each structure relative to the most stable one, in eV/atom, is as follows: model i 0.141; model ii 0.000.